{
  "formula": "CuTe2PbI",
  "functional": "meta-GGA SCAN",
  "state": "single point on PBEsol structure",
  "cell": [[-0.7125, 0.1550, 5.0869], [-2.1767, -4.6523, -0.1631], [4.7705, -2.2578, 0.7370]],
  "species": ["Pb", "I", "Te", "Te", "Cu"],
  "frac_coords": [[0.5000, 0.5000, 0.5000], [0.0000, 0.0000, 0.5000], [0.0000, 0.5000, 0.0000], [0.5000, 0.0000, 0.0000], [0.0000, 0.0000, 0.0000]],
  "total_magnetization_mub_per_cell": 0.00
}

***

{
  "formula": "YCu2PbI",
  "functional": "meta-GGA SCAN",
  "state": "single point on PBEsol structure",
  "cell": [[-1.8452, -0.8215, -4.3851], [-3.7487, -2.2875, 2.0059], [-3.0125, 5.1949, 0.2944]],
  "species": ["Pb", "I", "Y", "Cu", "Cu"],
  "frac_coords": [[0.0000, 0.0000, 0.5000], [0.0000, 0.0000, 0.0000], [0.5000, 0.5000, 0.5000], [0.0000, 0.5000, 0.0000], [0.5000, 0.0000, 0.0000]],
  "total_magnetization_mub_per_cell": 0.00
}

***

{
  "formula": "ScCu2PdI",
  "functional": "meta-GGA SCAN",
  "state": "single point on PBEsol structure",
  "cell": [[4.6548, 0.0000, 0.0000], [0.0000, 4.6548, 0.0000], [0.0000, 0.0000, 5.2108]],
  "species": ["I", "Sc", "Cu", "Cu", "Pd"],
  "frac_coords": [[0.0000, 0.0000, 0.0000], [0.0000, 0.0000, 0.5000], [0.0000, 0.5000, 0.0000], [0.5000, 0.0000, 0.0000], [0.5000, 0.5000, 0.5000]],
  "total_magnetization_mub_per_cell": 0.00
}

***

{
  "formula": "CuTe2PdI",
  "functional": "meta-GGA SCAN",
  "state": "single point on PBEsol structure",
  "cell": [[-4.2542, -2.0326, -2.2097], [-0.7065, -3.0469, 4.1629], [-2.9964, 3.8004, 2.2730]],
  "species": ["I", "Te", "Te", "Cu", "Pd"],
  "frac_coords": [[0.0000, 0.0000, 0.5000], [0.0000, 0.5000, 0.0000], [0.5000, 0.0000, 0.0000], [0.5000, 0.5000, 0.5000], [0.0000, 0.0000, 0.0000]],
  "total_magnetization_mub_per_cell": 0.00
}

***

{
  "formula": "Cu3PtI",
  "functional": "meta-GGA SCAN",
  "state": "single point on PBEsol structure",
  "cell": [[4.6873, 0.0000, 0.0000], [0.0000, 4.6873, 0.0000], [0.0000, 0.0000, 4.6873]],
  "species": ["I", "Cu", "Cu", "Cu", "Pt"],
  "frac_coords": [[0.5000, 0.5000, 0.5000], [0.0000, 0.5000, 0.0000], [0.0000, 0.0000, 0.5000], [0.5000, 0.0000, 0.0000], [0.0000, 0.0000, 0.0000]],
  "total_magnetization_mub_per_cell": 0.00
}

***

{
  "formula": "RbCuI2",
  "functional": "meta-GGA SCAN",
  "state": "single point on PBEsol structure",
  "cell": [[7.1275, 0.1309, 0.2099], [-2.6500, 6.6179, -0.2099], [-2.6500, -3.1015, 5.8499]],
  "species": ["I", "I", "I", "I", "Cu", "Cu", "Rb", "Rb"],
  "frac_coords": [[0.9021, 0.5271, 0.1250], [0.0979, 0.2229, 0.6250], [0.5979, 0.3750, 0.4729], [0.4021, 0.8750, 0.7771], [0.0000, 0.5000, 0.5000], [0.5000, 0.2500, 0.7500], [0.0000, 0.0000, 0.0000], [0.5000, 0.7500, 0.2500]],
  "relative_energy_mev_per_atom": 0.0,
  "total_magnetization_mub_per_cell": 0.00
}

***

{
  "formula": "RbCuI2",
  "functional": "meta-GGA SCAN",
  "state": "single point on PBEsol structure",
  "cell": [[-1.0311, -0.9193, -5.4281], [-2.7360, -4.6224, -1.5872], [-5.2336, 0.3771, -1.9595]],
  "species": ["I", "I", "Cu", "Rb"],
  "frac_coords": [[0.2500, 0.2500, 0.2500], [0.7500, 0.7500, 0.7500], [0.0000, 0.0000, 0.0000], [0.5000, 0.5000, 0.5000]],
  "relative_energy_mev_per_atom": 515.4,
  "total_magnetization_mub_per_cell": 0.00
}

***

{
  "formula": "RbCuSbI2",
  "functional": "meta-GGA SCAN",
  "state": "single point on PBEsol structure",
  "cell": [[6.5948, 0.0000, 0.0000], [0.0000, 6.5948, 0.0000], [0.0000, 0.0000, 6.6081]],
  "species": ["I", "I", "Sb", "Cu", "Rb"],
  "frac_coords": [[0.0000, 0.5000, 0.0000], [0.5000, 0.0000, 0.0000], [0.0000, 0.0000, 0.5000], [0.5000, 0.5000, 0.5000], [0.0000, 0.0000, 0.0000]],
  "total_magnetization_mub_per_cell": 3.06
}

***

no.,ΔE_f (raw) (eV per atom)
1,0.130
2,0.700
3,0.943
4,0.651
5,0.705
6,-0.843
7,-0.327
8,0.865